AcPr6Dy4 | PBE | optimized geometry

The structure belongs to space group I-42m (No. 121); the cell edges are 6.6765, 6.6765 and 17.8625 Å and the angles 90.00°, 90.00° and 90.00°. Symmetry generates all atoms from Ac at (0.0000, 0.0000, 0.0000), Pr at (0.0000, 0.5000, 0.0000), Pr at (0.1799, 0.1799, 0.3658) and Dy at (0.1870, 0.1870, 0.1797).

The calculation puts the formation energy at 0.3160 eV/atom. Its total energy is -95.43 eV per cell. The theoretical density is 7.18 Mg/m³. The size of the total moment is 0.00 μB per formula unit.